Compound: Si2Se
Source: the Alexandria database
Functional: PBE
Structure: relaxed

- Calculated total energy: -4.143 eV per atom
- DOS at the Fermi energy: 0.540 states/eV per atom
- Space-group type: Fd-3m (227)
- Formation energy (no corrections): 0.63 eV/atom
- Polymorph energy (0 for the lowest one): 803 meV/atom

a b c (Å): 5.288 5.288 5.288
angles (deg): 60.00 60.00 60.00
Element x y z (fractional)
Si 0.125 0.125 0.125
Si 0.125 0.125 0.625
Si 0.625 0.125 0.125
Si 0.125 0.625 0.125
Se 0.500 0.500 0.500
Se 0.750 0.750 0.750



Compound: BaSiW3
Source: the Alexandria database
Functional: PBE
Structure: relaxed

- Calculated total energy: -7.729 eV per atom
- DOS at the Fermi energy: 1.469 states/eV per atom
- Space-group type: Pm-3m (221)
- Formation energy (no corrections): 1.51 eV/atom
- Polymorph energy (0 for the lowest one): 0 meV/atom

a b c (Å): 4.762 4.762 4.762
angles (deg): 90.00 90.00 90.00
Element x y z (fractional)
W 0.500 0.000 0.000
W 0.000 0.500 0.000
W 0.000 0.000 0.500
Si 0.000 0.000 0.000
Ba 0.500 0.500 0.500



Compound: Rb3TlV2S8
Source: the Alexandria database
Functional: PBE
Structure: relaxed

- Calculated total energy: -4.822 eV per atom
- DOS at the Fermi energy: 0.536 states/eV per atom
- Space-group type: P-3m1 (164)
- Formation energy (no corrections): -0.78 eV/atom

a b c (Å): 7.125 7.125 9.682
angles (deg): 90.00 90.00 120.00
Element x y z (fractional)
S 0.836 0.673 0.699
S 0.673 0.836 0.301
S 0.333 0.667 0.024
S 0.836 0.164 0.699
S 0.327 0.164 0.699
S 0.667 0.333 0.976
S 0.164 0.836 0.301
S 0.164 0.327 0.301
Tl 0.000 0.000 0.500
Rb 0.667 0.333 0.329
Rb 0.000 0.000 0.000
Rb 0.333 0.667 0.671
V 0.333 0.667 0.241
V 0.667 0.333 0.759



Compound: Ba4Na3
Source: the Alexandria database
Functional: PBE
Structure: relaxed

- Calculated total energy: -1.520 eV per atom
- DOS at the Fermi energy: 1.322 states/eV per atom
- Space-group type: R-3m (166)
- E_form: 3.32 kcal/mol of atoms
- Polymorph energy (0 for the lowest one): 22 meV/atom

a b c (Å): 6.622 6.622 11.401
angles (deg): 73.12 73.12 60.00
Element x y z (fractional)
Ba 0.129 0.129 0.612
Ba 0.718 0.718 0.847
Ba 0.871 0.871 0.388
Ba 0.282 0.282 0.153
Na 0.597 0.597 0.210
Na 0.403 0.403 0.790
Na 0.500 0.500 0.500



Compound: MnBe2Al
Source: the Alexandria database
Functional: PBE
Structure: relaxed

- Calculated total energy: -5.021 eV per atom
- DOS at the Fermi energy: 0.547 states/eV per atom
- Space-group type: C2/m (12)
- E_form: 1.61 kcal/mol of atoms

a b c (Å): 4.592 4.487 2.427
angles (deg): 81.93 78.71 116.83
Element x y z (fractional)
Be 0.000 0.000 0.000
Be 0.000 0.500 0.500
Al 0.500 0.000 0.500
Mn 0.500 0.500 0.000



Compound: CaPrAl
Source: the Alexandria database
Functional: PBE
Structure: relaxed

- Calculated total energy: -3.621 eV per atom
- DOS at the Fermi energy: 1.029 states/eV per atom
- Space-group type: I4/mmm (139)
- E_form: -2.62 kcal/mol of atoms
- Polymorph energy (0 for the lowest one): 158 meV/atom

a b c (Å): 3.603 3.603 14.854
angles (deg): 96.97 96.97 90.00
Element x y z (fractional)
Ca 0.304 0.304 0.607
Ca 0.696 0.696 0.393
Pr 0.435 0.435 0.870
Pr 0.565 0.565 0.130
Al 0.129 0.129 0.259
Al 0.871 0.871 0.741



Compound: UCo4Ge2
Source: the Alexandria database
Functional: PBE
Structure: relaxed

- Calculated total energy: -7.102 eV per atom
- DOS at the Fermi energy: 1.221 states/eV per atom
- Space-group type: I4/mmm (139)
- E_form: -2.52 kcal/mol of atoms

a b c (Å): 3.685 3.685 8.006
angles (deg): 103.30 103.30 90.00
Element x y z (fractional)
Ge 0.358 0.358 0.715
Ge 0.642 0.642 0.285
Co 0.250 0.750 0.500
Co 0.142 0.142 0.284
Co 0.750 0.250 0.500
Co 0.858 0.858 0.716
U 0.000 0.000 0.000



Compound: Ca2Cu3Si2
Source: the Alexandria database
Functional: PBE
Structure: relaxed

- Calculated total energy: -4.177 eV per atom
- DOS at the Fermi energy: 0.448 states/eV per atom
- Space-group type: C2/m (12)
- Formation energy (no corrections): -0.30 eV/atom

a b c (Å): 3.952 5.697 6.890
angles (deg): 117.98 90.00 110.29
Element x y z (fractional)
Ca 0.864 0.727 0.241
Ca 0.136 0.273 0.759
Cu 0.352 0.705 0.577
Cu 0.500 0.000 0.000
Cu 0.648 0.295 0.423
Si 0.138 0.275 0.205
Si 0.862 0.725 0.795



Compound: PaCuRu
Source: the Alexandria database
Functional: PBE
Structure: relaxed

- Calculated total energy: -7.782 eV per atom
- DOS at the Fermi energy: 0.710 states/eV per atom
- Space-group type: P-1 (2)
- E_form: -3.67 kcal/mol of atoms
- Polymorph energy (0 for the lowest one): 0 meV/atom

a b c (Å): 3.095 7.632 7.752
angles (deg): 139.40 109.96 65.96
Element x y z (fractional)
Ru 0.567 0.484 0.816
Ru 0.433 0.516 0.184
Cu 0.169 0.056 0.898
Cu 0.831 0.944 0.102
Pa 0.000 0.500 0.500
Pa 0.500 0.000 0.500



Compound: ErAl2Br8
Source: the Alexandria database
Functional: PBE
Structure: relaxed

- Calculated total energy: -3.512 eV per atom
- DOS at the Fermi energy: 0.194 states/eV per atom
- Space-group type: C2/m (12)
- Formation energy (no corrections): -1.20 eV/atom

a b c (Å): 6.778 8.362 8.362
angles (deg): 74.00 83.27 83.27
Element x y z (fractional)
Br 0.231 0.276 0.919
Br 0.227 0.360 0.360
Br 0.769 0.081 0.724
Br 0.769 0.724 0.081
Br 0.231 0.919 0.276
Br 0.284 0.820 0.820
Br 0.716 0.180 0.180
Br 0.773 0.640 0.640
Er 0.000 0.000 0.000
Al 0.647 0.808 0.808
Al 0.353 0.192 0.192



Compound: K2ScPa3O12
Source: the Alexandria database
Functional: PBE
Structure: relaxed

- Calculated total energy: -8.032 eV per atom
- DOS at the Fermi energy: 0.819 states/eV per atom
- Space-group type: R-3m (166)
- Formation energy (no corrections): -2.67 eV/atom

a b c (Å): 7.830 7.830 7.830
angles (deg): 62.96 62.96 62.96
Element x y z (fractional)
Sc 0.000 0.000 0.000
Pa 0.000 0.500 0.000
Pa 0.000 0.000 0.500
Pa 0.500 0.000 0.000
O 0.044 0.684 0.684
O 0.938 0.938 0.310
O 0.938 0.310 0.938
O 0.062 0.062 0.690
O 0.316 0.316 0.956
O 0.684 0.044 0.684
O 0.316 0.956 0.316
O 0.690 0.062 0.062
O 0.684 0.684 0.044
O 0.310 0.938 0.938
O 0.062 0.690 0.062
O 0.956 0.316 0.316
K 0.331 0.331 0.331
K 0.669 0.669 0.669



Compound: RbAgPd2Cl6
Source: the Alexandria database
Functional: PBE
Structure: relaxed

- Calculated total energy: -3.231 eV per atom
- DOS at the Fermi energy: 0.241 states/eV per atom
- Space-group type: P1 (1)
- Formation energy (no corrections): -0.70 eV/atom

a b c (Å): 6.828 6.822 7.039
angles (deg): 89.95 119.08 119.95
Element x y z (fractional)
Pd 0.588 0.793 0.367
Pd 0.593 0.296 0.874
Cl 0.544 0.009 0.610
Cl 0.089 0.082 0.615
Cl 0.623 0.543 0.619
Cl 0.091 0.437 0.120
Cl 0.696 0.646 0.124
Cl 0.486 0.042 0.118
Rb 0.096 0.549 0.629
Ag 0.160 0.079 0.226



Compound: KPtCl2
Source: the Alexandria database
Functional: PBE
Structure: relaxed

- Calculated total energy: -2.537 eV per atom
- DOS at the Fermi energy: 1.902 states/eV per atom
- Space-group type: F-43m (216)
- Formation energy (no corrections): 0.17 eV/atom
- Polymorph energy (0 for the lowest one): 972 meV/atom

a b c (Å): 5.105 5.105 5.105
angles (deg): 60.00 60.00 60.00
Element x y z (fractional)
Cl 0.250 0.250 0.250
Cl 0.000 0.000 0.000
K 0.500 0.500 0.500
Pt 0.750 0.750 0.750



Compound: CaCuSn2
Source: the Alexandria database
Functional: PBE
Structure: relaxed

- Calculated total energy: -3.623 eV per atom
- DOS at the Fermi energy: 0.535 states/eV per atom
- Space-group type: Fm-3m (225)
- E_form: -2.25 kcal/mol of atoms

a b c (Å): 5.108 5.108 5.108
angles (deg): 60.00 60.00 60.00
Element x y z (fractional)
Cu 0.500 0.500 0.500
Ca 0.000 0.000 0.000
Sn 0.750 0.750 0.750
Sn 0.250 0.250 0.250



Compound: ZrMn5
Source: the Alexandria database
Functional: PBE
Structure: relaxed

- Calculated total energy: -8.888 eV per atom
- DOS at the Fermi energy: 1.311 states/eV per atom
- Space-group type: Cm (8)
- E_form: 4.11 kcal/mol of atoms

a b c (Å): 4.781 4.781 6.743
angles (deg): 68.73 68.73 34.71
Element x y z (fractional)
Mn 0.305 0.305 0.382
Mn 0.639 0.639 0.272
Mn 0.632 0.632 0.689
Mn 0.965 0.965 0.513
Mn 0.985 0.985 0.086
Zr 0.307 0.307 0.891



Compound: TcW2Br
Source: the Alexandria database
Functional: PBE
Structure: relaxed

- Calculated total energy: -8.606 eV per atom
- DOS at the Fermi energy: 0.714 states/eV per atom
- Space-group type: Imm2 (44)
- Formation energy (no corrections): 0.88 eV/atom
- Polymorph energy (0 for the lowest one): 361 meV/atom

a b c (Å): 5.376 5.376 5.376
angles (deg): 147.68 129.42 61.31
Element x y z (fractional)
Br 0.497 0.497 0.000
W 0.731 0.231 0.500
W 0.011 0.011 0.000
Tc 0.261 0.761 0.500



Compound: Tl3Tc2AgO9
Source: the Alexandria database
Functional: PBE
Structure: relaxed

- Calculated total energy: -5.960 eV per atom
- Space-group type: P-3m1 (164)
- Formation energy (no corrections): -0.94 eV/atom

a b c (Å): 5.812 5.812 7.594
angles (deg): 90.00 90.00 120.00
Element x y z (fractional)
O 0.642 0.821 0.286
O 0.500 0.500 0.000
O 0.179 0.821 0.286
O 0.179 0.358 0.286
O 0.821 0.179 0.714
O 0.358 0.179 0.714
O 0.000 0.500 0.000
O 0.500 0.000 0.000
O 0.821 0.642 0.714
Tl 0.333 0.667 0.694
Tl 0.000 0.000 0.000
Tl 0.667 0.333 0.306
Tc 0.667 0.333 0.834
Tc 0.333 0.667 0.166
Ag 0.000 0.000 0.500



Compound: LaPuAgSb
Source: the Alexandria database
Functional: PBE
Structure: relaxed

- Calculated total energy: -7.030 eV per atom
- DOS at the Fermi energy: 2.786 states/eV per atom
- Space-group type: F-43m (216)
- Formation energy (no corrections): -0.47 eV/atom

a b c (Å): 5.399 5.399 5.399
angles (deg): 60.00 60.00 60.00
Element x y z (fractional)
La 0.500 0.500 0.500
Ag 0.750 0.750 0.750
Sb 0.250 0.250 0.250
Pu 0.000 0.000 0.000



Compound: HoScZnCr
Source: the Alexandria database
Functional: PBE
Structure: relaxed

- Calculated total energy: -5.445 eV per atom
- DOS at the Fermi energy: 0.460 states/eV per atom
- Space-group type: F-43m (216)
- E_form: 0.15 kcal/mol of atoms

a b c (Å): 4.888 4.888 4.888
angles (deg): 60.00 60.00 60.00
Element x y z (fractional)
Sc 0.000 0.000 0.000
Cr 0.250 0.250 0.250
Ho 0.500 0.500 0.500
Zn 0.750 0.750 0.750



Compound: La3BeNi
Source: the Alexandria database
Functional: PBE
Structure: relaxed

- Calculated total energy: -4.553 eV per atom
- DOS at the Fermi energy: 1.766 states/eV per atom
- Space-group type: Pm-3m (221)
- E_form: 7.03 kcal/mol of atoms
- Polymorph energy (0 for the lowest one): 0 meV/atom

a b c (Å): 5.372 5.372 5.372
angles (deg): 90.00 90.00 90.00
Element x y z (fractional)
La 0.500 0.000 0.000
La 0.000 0.000 0.500
La 0.000 0.500 0.000
Be 0.500 0.500 0.500
Ni 0.000 0.000 0.000